Compound: SbOs2Se
Source: Alexandria via LeMat-Bulk
Functional: PBE
Structure: relaxed

Cell: 4.620 4.620 4.620 Å, 60.00 60.00 60.00°
Atoms (fractional coordinates):
Os 0.250 0.250 0.250
Os 0.000 0.000 0.000
Se 0.750 0.750 0.750
Sb 0.500 0.500 0.500

Computed properties:
The excess energy over the best structure of this formula in the dataset is 753 meV per atom. The energy relative to the elements, uncorrected comes out at 1106 meV per atom. The crystal system is cubic. Its space-group type is F-43m. The value obtained for the total magnetic moment is 0.0 μB per cell.